Record 1
Material: Ca2TlTe2
Method: DFT, PBE
State: optimized geometry

Unit cell a=8.8074 b=8.8074 c=4.0989 alpha=90.00 beta=90.00 gamma=90.00
With the nearest neighbours (Å) after each atom.
Space group P4/mbm (No. 127)
Unique sites:
Ca 0.1522 0.3478 0.0000 (multiplicity 4)  6 Te 3.21-3.36
Tl 0.0000 0.0000 0.5000 (multiplicity 2)  4 Te 3.35
Te 0.1498 0.6498 0.5000 (multiplicity 4)  6 Ca 3.21-3.36, 2 Tl 3.35

Results
The energy above the lowest structure with this stoichiometry is 0 meV/atom. Its uncorrected formation energy is -5.41 eV/f.u. The density of states at the Fermi level is 1.1 states/eV/f.u. As for the calculated density: 5.6 Mg/m³.



Record 2
Material: CaTlTe
Method: DFT, PBE
State: optimized geometry

Unit cell a=4.1975 b=4.1975 c=12.2545 alpha=90.00 beta=90.00 gamma=90.00
With the nearest neighbours (Å) after each atom.
Space group I4mm (No. 107)
Unique sites:
Ca 0.0000 0.0000 0.0000 (multiplicity 2)  4 Te 3.09
Tl 0.0000 0.0000 0.6989 (multiplicity 2)  1 Te 3.30, 1 Ca 3.69
Te 0.0000 0.0000 0.4298 (multiplicity 2)  4 Ca 3.09, 1 Tl 3.30

Results
The energy above the lowest structure with this stoichiometry is 111 meV/atom. Its uncorrected formation energy is -2.12 eV/f.u. The density of states at the Fermi level is 2.0 states/eV/f.u. As for the calculated density: 5.7 Mg/m³.



Record 3
Material: Ca2UTl3Te6
Method: DFT, PBE
State: optimized geometry

Unit cell a=7.8237 b=13.5053 c=8.5136 alpha=90.00 beta=107.66 gamma=90.00
With the nearest neighbours (Å) after each atom.
Space group C2/m (No. 12)
Unique sites:
Ca 0.0000 0.1658 0.0000 (multiplicity 4)  6 Te 3.19-3.21
U 0.0000 0.5000 0.0000 (multiplicity 2)  6 Te 3.00-3.02
Tl 0.0000 0.0000 0.5000 (multiplicity 2)  6 Te 3.44-3.58
Tl 0.0000 0.3307 0.5000 (multiplicity 4)  6 Te 3.43-3.58
Te 0.2282 0.3431 0.2134 (multiplicity 8)  1 U 3.00, 2 Ca 3.19-3.20
Te 0.2401 0.5000 0.7805 (multiplicity 4)  1 U 3.02, 2 Ca 3.21

Results
Its uncorrected formation energy is -10.35 eV/f.u. As for the calculated density: 6.6 Mg/m³.



Record 4
Material: CaYTl2Te
Method: DFT, PBE
State: optimized geometry

Unit cell a=5.8955 b=5.8955 c=5.7413 alpha=90.00 beta=90.00 gamma=90.00
With the nearest neighbours (Å) after each atom.
Space group P4/mmm (No. 123)
Unique sites:
Ca 0.0000 0.0000 0.0000 (multiplicity 1)  8 Tl 4.11, 4 Te 4.17
Y 0.5000 0.5000 0.5000 (multiplicity 1)  2 Te 2.87, 4 Tl 2.95
Tl 0.0000 0.5000 0.5000 (multiplicity 2)  2 Y 2.95
Te 0.5000 0.5000 0.0000 (multiplicity 1)  2 Y 2.87

Results
Its uncorrected formation energy is -0.55 eV/f.u. The density of states at the Fermi level is 8.3 states/eV/f.u. As for the calculated density: 5.5 Mg/m³.



Record 5
Material: CaTl2ZnTe
Method: DFT, PBE
State: optimized geometry

Unit cell a=6.2481 b=6.2481 c=5.7295 alpha=90.00 beta=90.00 gamma=90.00
With the nearest neighbours (Å) after each atom.
Space group P4/mmm (No. 123)
Unique sites:
Ca 0.0000 0.0000 0.0000 (multiplicity 1)  2 Te 2.86, 4 Tl 3.12
Tl 0.0000 0.5000 0.0000 (multiplicity 2)  2 Ca 3.12
Zn 0.5000 0.5000 0.5000 (multiplicity 1)  8 Tl 4.24, 4 Te 4.42
Te 0.0000 0.0000 0.5000 (multiplicity 1)  2 Ca 2.86

Results
Its uncorrected formation energy is 0.87 eV/f.u. The density of states at the Fermi level is 2.5 states/eV/f.u. As for the calculated density: 4.8 Mg/m³.



Record 6
Material: Ca2ZrTlTe
Method: DFT, PBE
State: optimized geometry

Unit cell a=5.7694 b=5.7694 c=5.5030 alpha=90.00 beta=90.00 gamma=90.00
With the nearest neighbours (Å) after each atom.
Space group P4/mmm (No. 123)
Unique sites:
Ca 0.0000 0.5000 0.0000 (multiplicity 2)  2 Tl 2.88
Zr 0.0000 0.0000 0.5000 (multiplicity 1)  2 Tl 2.75
Tl 0.0000 0.0000 0.0000 (multiplicity 1)  2 Zr 2.75, 4 Ca 2.88
Te 0.5000 0.5000 0.5000 (multiplicity 1)  8 Ca 3.99, 4 Zr 4.08

Results
Its uncorrected formation energy is 0.58 eV/f.u. The density of states at the Fermi level is 4.1 states/eV/f.u. As for the calculated density: 4.6 Mg/m³.



Record 7
Material: Ca2ZrTl3Te6
Method: DFT, PBE
State: optimized geometry

Unit cell a=7.7668 b=13.4288 c=8.2575 alpha=90.00 beta=108.35 gamma=90.00
With the nearest neighbours (Å) after each atom.
Space group C2/m (No. 12)
Unique sites:
Ca 0.0000 0.1650 0.0000 (multiplicity 4)  6 Te 3.16-3.18
Zr 0.0000 0.5000 0.0000 (multiplicity 2)  6 Te 2.94-2.96
Tl 0.0000 0.0000 0.5000 (multiplicity 2)  6 Te 3.35-3.54
Tl 0.0000 0.3305 0.5000 (multiplicity 4)  6 Te 3.35-3.52
Te 0.2273 0.3445 0.2149 (multiplicity 8)  1 Zr 2.94, 2 Ca 3.16-3.18
Te 0.2356 0.5000 0.7794 (multiplicity 4)  1 Zr 2.96, 2 Ca 3.18

Results
Its uncorrected formation energy is -10.33 eV/f.u. The density of states at the Fermi level is 5.7 states/eV/f.u. As for the calculated density: 6.3 Mg/m³.



Record 8
Material: Ca4Tm3Te8
Method: DFT, PBE
State: optimized geometry

Unit cell a=8.7672 b=8.7672 c=24.1570 alpha=90.00 beta=90.00 gamma=120.00
With the nearest neighbours (Å) after each atom.
Space group R-3m (No. 166, hexagonal axes)
Unique sites:
Ca 0.0000 0.0000 0.0000 (multiplicity 3)  6 Te 3.21, 2 Ca 3.48
Ca 0.0000 0.0000 0.1442 (multiplicity 6)  4 Te 2.96-3.08
Ca 0.0000 0.0000 0.5000 (multiplicity 3)  6 Te 3.27
Tm 0.0000 0.5000 0.0000 (multiplicity 9)  6 Te 3.00-3.10
Te 0.0000 0.0000 0.2668 (multiplicity 6)  1 Ca 2.96, 3 Tm 3.00
Te 0.0112 0.5056 0.2566 (multiplicity 18)  3 Ca 3.08-3.27, 2 Tm 3.10

Results
Its uncorrected formation energy is -20.67 eV/f.u. The density of states at the Fermi level is 4.3 states/eV/f.u. As for the calculated density: 5.2 Mg/m³.



Record 9
Material: CaTm2Te3
Method: DFT, PBE
State: optimized geometry

Unit cell a=4.3442 b=6.1519 c=13.1278 alpha=90.00 beta=90.00 gamma=90.00
With the nearest neighbours (Å) after each atom.
Space group Immm (No. 71)
Unique sites:
Ca 0.0000 0.0000 0.0000 (multiplicity 2)  6 Te 3.08-3.13
Tm 0.0000 0.0000 0.3373 (multiplicity 4)  6 Te 3.05-3.08
Te 0.0000 0.5000 0.0000 (multiplicity 2)  4 Tm 3.05, 2 Ca 3.08
Te 0.0000 0.5000 0.3282 (multiplicity 4)  4 Tm 3.07-3.08, 2 Ca 3.13

Results
Its uncorrected formation energy is -7.90 eV/f.u. The density of states at the Fermi level is 2.5 states/eV/f.u. As for the calculated density: 7.2 Mg/m³.



Record 10
Material: Ca4TmTe5
Method: DFT, PBE
State: optimized geometry

Unit cell a=4.4577 b=4.4577 c=31.6530 alpha=90.00 beta=90.00 gamma=90.00
With the nearest neighbours (Å) after each atom.
Space group I4/mmm (No. 139)
Unique sites:
Ca 0.0000 0.0000 0.0992 (multiplicity 4)  6 Te 3.14-3.17
Ca 0.0000 0.0000 0.3007 (multiplicity 4)  6 Te 3.15-3.24
Tm 0.0000 0.0000 0.5000 (multiplicity 2)  6 Te 3.07-3.15
Te 0.0000 0.0000 0.0000 (multiplicity 2)  2 Ca 3.14, 4 Tm 3.15
Te 0.0000 0.0000 0.1995 (multiplicity 4)  6 Ca 3.15-3.21
Te 0.0000 0.0000 0.4030 (multiplicity 4)  1 Tm 3.07, 5 Ca 3.15-3.24

Results
Its uncorrected formation energy is -15.43 eV/f.u. The density of states at the Fermi level is 2.5 states/eV/f.u. As for the calculated density: 5.1 Mg/m³.



Record 11
Material: CaTm4Te6
Method: DFT, PBE
State: optimized geometry

Unit cell a=4.2956 b=14.1732 c=22.2489 alpha=90.00 beta=90.00 gamma=90.00
With the nearest neighbours (Å) after each atom.
Space group Cmcm (No. 63)
Unique sites:
Ca 0.0000 0.1577 0.2500 (multiplicity 4)  6 Te 3.15-3.28
Tm 0.0000 0.0897 0.6274 (multiplicity 8)  6 Te 3.01-3.11
Tm 0.0000 0.3588 0.5372 (multiplicity 8)  6 Te 3.04-3.08
Te 0.0000 0.0000 0.0000 (multiplicity 4)  6 Tm 3.05-3.11
Te 0.0000 0.1801 0.7500 (multiplicity 4)  2 Tm 3.01, 2 Ca 3.15
Te 0.0000 0.2690 0.0889 (multiplicity 8)  5 Tm 3.04-3.08
Te 0.0000 0.4499 0.6618 (multiplicity 8)  3 Tm 3.02-3.06, 2 Ca 3.28

Results
Its uncorrected formation energy is -14.82 eV/f.u. The density of states at the Fermi level is 3.7 states/eV/f.u. As for the calculated density: 7.3 Mg/m³.



Record 12
Material: Ca5TmTe6
Method: DFT, PBE
State: optimized geometry

Unit cell a=7.7471 b=13.4114 c=7.7475 alpha=90.00 beta=109.48 gamma=90.00
With the nearest neighbours (Å) after each atom.
Space group C2/m (No. 12)
Unique sites:
Ca 0.0000 0.0000 0.0000 (multiplicity 2)  6 Te 3.16-3.23
Ca 0.0000 0.1662 0.5000 (multiplicity 4)  6 Te 3.17
Ca 0.0000 0.3312 0.0000 (multiplicity 4)  6 Te 3.16-3.21
Tm 0.0000 0.5000 0.5000 (multiplicity 2)  6 Te 3.09
Te 0.2430 0.5000 0.2541 (multiplicity 4)  1 Tm 3.09, 5 Ca 3.17-3.23
Te 0.2444 0.3372 0.7452 (multiplicity 8)  1 Tm 3.09, 5 Ca 3.16-3.21

Results
Its uncorrected formation energy is -18.75 eV/f.u. The density of states at the Fermi level is 3.8 states/eV/f.u. As for the calculated density: 5.0 Mg/m³.



Record 13
Material: CaTm3Te4
Method: DFT, PBE
State: optimized geometry

Unit cell a=6.1270 b=6.1270 c=12.2970 alpha=90.00 beta=90.00 gamma=90.00
With the nearest neighbours (Å) after each atom.
Space group I4/mmm (No. 139)
Unique sites:
Ca 0.0000 0.0000 0.0000 (multiplicity 2)  6 Te 3.06-3.09
Tm 0.0000 0.0000 0.5000 (multiplicity 2)  6 Te 3.06
Tm 0.0000 0.5000 0.2500 (multiplicity 4)  6 Te 3.06-3.07
Te 0.0000 0.0000 0.2514 (multiplicity 4)  5 Tm 3.06, 1 Ca 3.09
Te 0.0000 0.5000 0.0000 (multiplicity 4)  2 Ca 3.06, 4 Tm 3.06-3.07

Results
Its uncorrected formation energy is -10.23 eV/f.u. The density of states at the Fermi level is 2.1 states/eV/f.u. As for the calculated density: 7.6 Mg/m³.



Record 14
Material: Ca6TmTe8
Method: DFT, PBE
State: optimized geometry

Unit cell a=12.7096 b=12.7096 c=12.7096 alpha=90.00 beta=90.00 gamma=90.00
With the nearest neighbours (Å) after each atom.
Space group Fm-3m (No. 225)
Unique sites:
Ca 0.0000 0.2500 0.2500 (multiplicity 24)  6 Te 3.18
Tm 0.0000 0.0000 0.0000 (multiplicity 4)  6 Te 3.08
Te 0.0000 0.0000 0.2421 (multiplicity 24)  1 Tm 3.08, 4 Ca 3.18
Te 0.2500 0.2500 0.2500 (multiplicity 8)  6 Ca 3.18

Results
Its uncorrected formation energy is -22.53 eV/f.u. The density of states at the Fermi level is 6.4 states/eV/f.u. As for the calculated density: 4.6 Mg/m³.



Record 15
Material: CaTm4Te5
Method: DFT, PBE
State: optimized geometry

Unit cell a=9.6903 b=9.6903 c=6.1260 alpha=90.00 beta=90.00 gamma=90.00
With the nearest neighbours (Å) after each atom.
Space group I4 (No. 79)
Unique sites:
Ca 0.0000 0.0000 0.0000 (multiplicity 2)  6 Te 3.06-3.11
Tm 0.1042 0.7025 0.4988 (multiplicity 8)  6 Te 3.05-3.07
Te 0.0000 0.0000 0.4999 (multiplicity 2)  4 Tm 3.05, 2 Ca 3.06
Te 0.0985 0.6945 0.9988 (multiplicity 8)  5 Tm 3.05-3.07, 1 Ca 3.11

Results
Its uncorrected formation energy is -12.52 eV/f.u. The density of states at the Fermi level is 5.1 states/eV/f.u. As for the calculated density: 7.8 Mg/m³.



Record 16
Material: Ca4TmTe5
Method: DFT, PBE
State: optimized geometry

Unit cell a=9.9807 b=9.9807 c=6.3026 alpha=90.00 beta=90.00 gamma=90.00
With the nearest neighbours (Å) after each atom.
Space group I4/m (No. 87)
Unique sites:
Ca 0.0973 0.6989 0.0000 (multiplicity 8)  6 Te 3.15-3.20
Tm 0.0000 0.0000 0.5000 (multiplicity 2)  6 Te 3.08-3.15
Te 0.0000 0.0000 0.0000 (multiplicity 2)  2 Tm 3.15, 4 Ca 3.16
Te 0.0981 0.7074 0.5000 (multiplicity 8)  1 Tm 3.08, 5 Ca 3.15-3.20

Results
Its uncorrected formation energy is -15.43 eV/f.u. The density of states at the Fermi level is 3.1 states/eV/f.u. As for the calculated density: 5.1 Mg/m³.



Record 17
Material: CaTm6Te8
Method: DFT, PBE
State: optimized geometry

Unit cell a=12.1691 b=12.1691 c=12.1691 alpha=90.00 beta=90.00 gamma=90.00
With the nearest neighbours (Å) after each atom.
Space group Fm-3m (No. 225)
Unique sites:
Ca 0.0000 0.0000 0.0000 (multiplicity 4)  6 Te 3.15
Tm 0.0000 0.2500 0.2500 (multiplicity 24)  6 Te 3.04
Te 0.0000 0.0000 0.2587 (multiplicity 24)  4 Tm 3.04, 1 Ca 3.15
Te 0.2500 0.2500 0.2500 (multiplicity 8)  6 Tm 3.04

Results
Its uncorrected formation energy is -19.72 eV/f.u. The density of states at the Fermi level is 5.5 states/eV/f.u. As for the calculated density: 7.6 Mg/m³.



Record 18
Material: CaTm5Te6
Method: DFT, PBE
State: optimized geometry

Unit cell a=7.4612 b=12.9524 c=7.5423 alpha=90.00 beta=109.31 gamma=90.00
With the nearest neighbours (Å) after each atom.
Space group C2/m (No. 12)
Unique sites:
Ca 0.0000 0.0000 0.0000 (multiplicity 2)  6 Te 3.08-3.11
Tm 0.0000 0.1611 0.5000 (multiplicity 4)  6 Te 3.04-3.06
Tm 0.0000 0.3318 0.0000 (multiplicity 4)  6 Te 3.05-3.07
Tm 0.0000 0.5000 0.5000 (multiplicity 2)  6 Te 3.04-3.05
Te 0.2439 0.5000 0.2466 (multiplicity 4)  5 Tm 3.04-3.05, 1 Ca 3.08
Te 0.2456 0.3309 0.7448 (multiplicity 8)  5 Tm 3.05-3.07, 1 Ca 3.11

Results
Its uncorrected formation energy is -14.89 eV/f.u. The density of states at the Fermi level is 5.7 states/eV/f.u. As for the calculated density: 8.0 Mg/m³.



Record 19
Material: Ca3Y2TmTe6
Method: DFT, PBE
State: optimized geometry

Unit cell a=7.6045 b=13.1539 c=7.7413 alpha=90.00 beta=109.13 gamma=90.00
With the nearest neighbours (Å) after each atom.
Space group C2/m (No. 12)
Unique sites:
Ca 0.0000 0.0000 0.0000 (multiplicity 2)  6 Te 3.14-3.17
Ca 0.0000 0.3316 0.0000 (multiplicity 4)  6 Te 3.14-3.16
Y 0.0000 0.1658 0.5000 (multiplicity 4)  6 Te 3.11
Tm 0.0000 0.5000 0.5000 (multiplicity 2)  6 Te 3.07-3.08
Te 0.2458 0.3351 0.7435 (multiplicity 8)  1 Tm 3.07, 2 Y 3.11, 3 Ca 3.14-3.16
Te 0.2475 0.5000 0.2549 (multiplicity 4)  1 Tm 3.08, 2 Y 3.11, 3 Ca 3.15-3.17

Results
Its uncorrected formation energy is -17.38 eV/f.u. The density of states at the Fermi level is 5.1 states/eV/f.u. As for the calculated density: 5.6 Mg/m³.



Record 20
Material: Ca2YTmTe4
Method: DFT, PBE
State: optimized geometry

Unit cell a=7.5871 b=4.3828 c=7.7339 alpha=90.00 beta=109.15 gamma=90.00
With the nearest neighbours (Å) after each atom.
Space group P2/m (No. 10)
Unique sites:
Ca 0.0000 0.0000 0.0000 (multiplicity 1)  6 Te 3.16
Ca 0.5000 0.5000 0.0000 (multiplicity 1)  6 Te 3.14
Y 0.0000 0.5000 0.5000 (multiplicity 1)  6 Te 3.10
Tm 0.5000 0.0000 0.5000 (multiplicity 1)  6 Te 3.08
Te 0.2511 0.0000 0.7442 (multiplicity 2)  1 Tm 3.08, 2 Y 3.10, 3 Ca 3.14-3.16
Te 0.2552 0.5000 0.2578 (multiplicity 2)  2 Tm 3.08, 1 Y 3.10, 3 Ca 3.14-3.16

Results
Its uncorrected formation energy is -11.49 eV/f.u. The density of states at the Fermi level is 3.7 states/eV/f.u. As for the calculated density: 5.8 Mg/m³.